(1)
# RbPdI5 (PBE, relaxed)
# Density (g/cm³): 4.250
# Formation energy (no corrections) (eV per atom): -0.473
# Raw total energy (eV/atom): -2.46
data_RbPdI5
_chemical_formula_sum 'Rb4 Pd4 I20'
_space_group_name_H-M_alt 'I m m a'
_space_group_IT_number 74
_space_group_name_Hall '-I 2b 2'
_cell_length_a 11.513
_cell_length_b 13.708
_cell_length_c 8.184
_cell_angle_alpha 90.00
_cell_angle_beta 90.00
_cell_angle_gamma 90.00
loop_
_atom_site_label
_atom_site_fract_x
_atom_site_fract_y
_atom_site_fract_z
Rb1 0.000 0.250 0.245
Pd1 0.250 0.250 0.750
I1 0.000 0.250 0.759
I2 0.247 0.121 0.500

=====

(2)
# Nd5HgGe2 (PBE, relaxed)
# Density (g/cm³): 7.673
# ΔE_f (eV/atom): -0.5795
# Raw total energy (eV/atom): -4.75
data_Nd5HgGe2
_chemical_formula_sum 'Nd20 Hg4 Ge8'
_space_group_name_H-M_alt 'I 4/m c m'
_space_group_IT_number 140
_space_group_name_Hall '-I 4 2c'
_cell_length_a 7.924
_cell_length_b 7.924
_cell_length_c 14.711
_cell_angle_alpha 90.00
_cell_angle_beta 90.00
_cell_angle_gamma 90.00
loop_
_atom_site_label
_atom_site_fract_x
_atom_site_fract_y
_atom_site_fract_z
Nd1 0.000 0.000 0.000
Nd2 0.170 0.330 0.141
Hg1 0.000 0.000 0.250
Ge1 0.129 0.371 0.500

=====

(3)
# In2PSe (PBE, relaxed)
# Density (g/cm³): 6.367
# Formation energy (no corrections) (eV per atom): 0.156
# Raw total energy (eV/atom): -3.44
data_In2PSe
_chemical_formula_sum 'In8 P4 Se4'
_space_group_name_H-M_alt 'F m -3 m'
_space_group_IT_number 225
_space_group_name_Hall '-F 4 2 3'
_cell_length_a 7.076
_cell_length_b 7.076
_cell_length_c 7.076
_cell_angle_alpha 90.00
_cell_angle_beta 90.00
_cell_angle_gamma 90.00
loop_
_atom_site_label
_atom_site_fract_x
_atom_site_fract_y
_atom_site_fract_z
In1 0.250 0.250 0.250
P1 0.000 0.000 0.000
Se1 0.000 0.000 0.500

=====

(4)
# Cr2ReW (PBE, relaxed)
# Density (g/cm³): 14.372
# ΔE_f (eV/atom): 0.0511
# Raw total energy (eV/atom): -11.11
data_Cr2ReW
_chemical_formula_sum 'Cr2 Re1 W1'
_space_group_name_H-M_alt 'P 4 m m'
_space_group_IT_number 99
_space_group_name_Hall 'P 4 -2'
_cell_length_a 3.007
_cell_length_b 3.007
_cell_length_c 6.056
_cell_angle_alpha 90.00
_cell_angle_beta 90.00
_cell_angle_gamma 90.00
loop_
_atom_site_label
_atom_site_fract_x
_atom_site_fract_y
_atom_site_fract_z
Cr1 0.000 0.000 0.000
Cr2 0.500 0.500 0.228
Re1 0.000 0.000 0.476
W1 0.500 0.500 0.753

=====

(5)
# CrNi4 (PBE, relaxed)
# Density (g/cm³): 8.760
# ΔE_f (eV/atom): -0.0127
# Raw total energy (eV/atom): -6.56
data_CrNi4
_chemical_formula_sum 'Cr2 Ni8'
_space_group_name_H-M_alt 'I 4/m'
_space_group_IT_number 87
_space_group_name_Hall '-I 4'
_cell_length_a 5.580
_cell_length_b 5.580
_cell_length_c 3.492
_cell_angle_alpha 90.00
_cell_angle_beta 90.00
_cell_angle_gamma 90.00
loop_
_atom_site_label
_atom_site_fract_x
_atom_site_fract_y
_atom_site_fract_z
Cr1 0.000 0.000 0.000
Ni1 0.101 0.703 0.500

=====

(6)
# HgMoRh2 (PBE, relaxed)
# Density (g/cm³): 12.857
# ΔE_f (eV/atom): 0.4384
# Raw total energy (eV/atom): -6.02
data_HgMoRh2
_chemical_formula_sum 'Hg4 Mo4 Rh8'
_space_group_name_H-M_alt 'F -4 3 m'
_space_group_IT_number 216
_space_group_name_Hall 'F -4 2 3'
_cell_length_a 6.379
_cell_length_b 6.379
_cell_length_c 6.379
_cell_angle_alpha 90.00
_cell_angle_beta 90.00
_cell_angle_gamma 90.00
loop_
_atom_site_label
_atom_site_fract_x
_atom_site_fract_y
_atom_site_fract_z
Hg1 0.000 0.000 0.000
Mo1 0.250 0.250 0.250
Rh1 0.000 0.000 0.500
Rh2 0.250 0.250 0.750